1.
# TePdRu, optimized geometry, DFT PBE
# - Spin magnetization: 0.00 μB per formula unit
# - E: -71.1 eV per cell
# - DOS(E_F): 0.581 states/eV/atom
data_TePdRu
_cell_length_a 3.811
_cell_length_b 16.728
_cell_length_c 4.134
_cell_angle_alpha 90.00
_cell_angle_beta 90.00
_cell_angle_gamma 90.00
_symmetry_space_group_name_H-M 'C m c m'
_symmetry_Int_Tables_number 63
_symmetry_space_group_name_Hall '-C 2c 2'
loop_
_atom_site_label
_atom_site_fract_x
_atom_site_fract_y
_atom_site_fract_z
Te1 0.000 0.160 0.250
Pd1 0.000 0.063 0.750
Ru1 0.000 0.447 0.750

=====

2.
# Th6Te3PdRu2, optimized geometry, DFT PBE
# - Spin magnetization: 0.00 μB per formula unit
# - E: -176.9 eV per cell
# - DOS(E_F): 0.792 states/eV/atom
data_Th6Te3PdRu2
_cell_length_a 19.576
_cell_length_b 4.195
_cell_length_c 9.110
_cell_angle_alpha 90.00
_cell_angle_beta 109.70
_cell_angle_gamma 90.00
_symmetry_space_group_name_H-M 'C 1 2/m 1'
_symmetry_Int_Tables_number 12
_symmetry_space_group_name_Hall '-C 2y'
loop_
_atom_site_label
_atom_site_fract_x
_atom_site_fract_y
_atom_site_fract_z
Th1 0.015 0.000 0.235
Th2 0.161 0.500 0.117
Th3 0.179 0.500 0.557
Te1 0.000 0.500 0.500
Te2 0.164 0.000 0.834
Pd1 0.000 0.500 0.000
Ru1 0.167 0.000 0.333

=====

3.
# Ti2TePdRu, optimized geometry, DFT PBE
# - Spin magnetization: 0.27 μB per formula unit
# - E: -31.2 eV per cell
# - DOS(E_F): 1.280 states/eV/atom
data_Ti2TePdRu
_cell_length_a 4.646
_cell_length_b 4.646
_cell_length_c 4.982
_cell_angle_alpha 90.00
_cell_angle_beta 90.00
_cell_angle_gamma 90.00
_symmetry_space_group_name_H-M 'P 4/m m m'
_symmetry_Int_Tables_number 123
_symmetry_space_group_name_Hall '-P 4 2'
loop_
_atom_site_label
_atom_site_fract_x
_atom_site_fract_y
_atom_site_fract_z
Ti1 0.000 0.500 0.000
Te1 0.000 0.000 0.500
Pd1 0.500 0.500 0.500
Ru1 0.000 0.000 0.000

=====

4.
# Th3Pd2Ru, optimized geometry, DFT PBE
# - Spin magnetization: 0.00 μB per formula unit
# - E: -182.9 eV per cell
# - Energy relative to the elements: -0.6354 eV per atom
# - DOS(E_F): 0.751 states/eV/atom
data_Th3Pd2Ru
_cell_length_a 14.122
_cell_length_b 5.750
_cell_length_c 7.349
_cell_angle_alpha 90.00
_cell_angle_beta 102.46
_cell_angle_gamma 90.00
_symmetry_space_group_name_H-M 'C 1 2/c 1'
_symmetry_Int_Tables_number 15
_symmetry_space_group_name_Hall '-C 2yc'
loop_
_atom_site_label
_atom_site_fract_x
_atom_site_fract_y
_atom_site_fract_z
Th1 0.000 0.132 0.250
Th2 0.168 0.393 0.641
Pd1 0.163 0.110 0.011
Ru1 0.000 0.367 0.750

=====

5.
# Th3PdRu, optimized geometry, DFT PBE
# - Spin magnetization: 0.00 μB per formula unit
# - E: -156.8 eV per cell
# - Energy relative to the elements: -0.4950 eV per atom
# - DOS(E_F): 0.998 states/eV/atom
data_Th3PdRu
_cell_length_a 13.147
_cell_length_b 3.982
_cell_length_c 10.199
_cell_angle_alpha 90.00
_cell_angle_beta 98.01
_cell_angle_gamma 90.00
_symmetry_space_group_name_H-M 'C 1 2/m 1'
_symmetry_Int_Tables_number 12
_symmetry_space_group_name_Hall '-C 2y'
loop_
_atom_site_label
_atom_site_fract_x
_atom_site_fract_y
_atom_site_fract_z
Th1 0.091 0.000 0.378
Th2 0.147 0.500 0.711
Th3 0.152 0.500 0.081
Pd1 0.048 0.000 0.882
Ru1 0.234 0.500 0.386

=====

6.
# Th4PdRu, optimized geometry, DFT PBE
# - Spin magnetization: 0.00 μB per formula unit
# - E: -91.5 eV per cell
# - Energy relative to the elements: -0.2667 eV per atom
# - DOS(E_F): 1.240 states/eV/atom
data_Th4PdRu
_cell_length_a 7.238
_cell_length_b 6.800
_cell_length_c 7.268
_cell_angle_alpha 90.00
_cell_angle_beta 99.25
_cell_angle_gamma 90.00
_symmetry_space_group_name_H-M 'P 1 21/c 1'
_symmetry_Int_Tables_number 14
_symmetry_space_group_name_Hall '-P 2ybc'
loop_
_atom_site_label
_atom_site_fract_x
_atom_site_fract_y
_atom_site_fract_z
Th1 0.152 0.154 0.367
Th2 0.342 0.662 0.291
Pd1 0.000 0.000 0.000
Ru1 0.500 0.000 0.500

=====

7.
# Th3PdRu, optimized geometry, DFT PBE
# - Spin magnetization: 0.00 μB per formula unit
# - E: -78.5 eV per cell
# - Energy relative to the elements: -0.5053 eV per atom
# - DOS(E_F): 0.947 states/eV/atom
data_Th3PdRu
_cell_length_a 8.283
_cell_length_b 3.891
_cell_length_c 8.554
_cell_angle_alpha 90.00
_cell_angle_beta 111.63
_cell_angle_gamma 90.00
_symmetry_space_group_name_H-M 'P 1 21/m 1'
_symmetry_Int_Tables_number 11
_symmetry_space_group_name_Hall '-P 2yb'
loop_
_atom_site_label
_atom_site_fract_x
_atom_site_fract_y
_atom_site_fract_z
Th1 0.033 0.250 0.174
Th2 0.212 0.750 0.570
Th3 0.398 0.750 0.124
Pd1 0.398 0.250 0.396
Ru1 0.238 0.250 0.842

=====

8.
# ThPdRu, optimized geometry, DFT PBE
# - Spin magnetization: 0.00 μB per formula unit
# - E: -23.0 eV per cell
# - Energy relative to the elements: -0.3842 eV per atom
# - DOS(E_F): 0.130 states/eV/atom
data_ThPdRu
_cell_length_a 4.3965
_cell_length_b 4.3965
_cell_length_c 3.8434
_cell_angle_alpha 90.00
_cell_angle_beta 90.00
_cell_angle_gamma 120.00
_symmetry_space_group_name_H-M 'P -6 m 2'
_symmetry_Int_Tables_number 187
_symmetry_space_group_name_Hall 'P -6 2'
loop_
_atom_site_label
_atom_site_fract_x
_atom_site_fract_y
_atom_site_fract_z
Th1 0.0000 0.0000 0.0000
Pd1 0.3333 0.6667 0.5000
Ru1 0.6667 0.3333 0.5000

=====

9.
# ThPdRu, optimized geometry, DFT PBE
# - Spin magnetization: 0.00 μB per formula unit
# - E: -45.8 eV per cell
# - Energy relative to the elements: -0.3441 eV per atom
# - DOS(E_F): 0.400 states/eV/atom
data_ThPdRu
_cell_length_a 3.771
_cell_length_b 3.771
_cell_length_c 8.435
_cell_angle_alpha 90.00
_cell_angle_beta 90.00
_cell_angle_gamma 90.00
_symmetry_space_group_name_H-M 'I 4 m m'
_symmetry_Int_Tables_number 107
_symmetry_space_group_name_Hall 'I 4 -2'
loop_
_atom_site_label
_atom_site_fract_x
_atom_site_fract_y
_atom_site_fract_z
Th1 0.000 0.000 0.000
Pd1 0.000 0.000 0.665
Ru1 0.000 0.000 0.314

=====

10.
# ThPdRu, optimized geometry, DFT PBE
# - Spin magnetization: 0.00 μB per formula unit
# - E: -46.4 eV per cell
# - Energy relative to the elements: -0.4401 eV per atom
# - DOS(E_F): 0.772 states/eV/atom
data_ThPdRu
_cell_length_a 5.009
_cell_length_b 4.704
_cell_length_c 5.574
_cell_angle_alpha 90.00
_cell_angle_beta 109.81
_cell_angle_gamma 90.00
_symmetry_space_group_name_H-M 'P 1 21/m 1'
_symmetry_Int_Tables_number 11
_symmetry_space_group_name_Hall '-P 2yb'
loop_
_atom_site_label
_atom_site_fract_x
_atom_site_fract_y
_atom_site_fract_z
Th1 0.051 0.250 0.263
Pd1 0.436 0.250 0.862
Ru1 0.394 0.750 0.586

=====

11.
# Th4Pd2Ru, optimized geometry, DFT PBE
# - Spin magnetization: 0.00 μB per formula unit
# - E: -213.4 eV per cell
# - Energy relative to the elements: -0.5723 eV per atom
# - DOS(E_F): 0.997 states/eV/atom
data_Th4Pd2Ru
_cell_length_a 8.844
_cell_length_b 8.844
_cell_length_c 9.259
_cell_angle_alpha 90.00
_cell_angle_beta 90.00
_cell_angle_gamma 90.00
_symmetry_space_group_name_H-M 'I -4 2 d'
_symmetry_Int_Tables_number 122
_symmetry_space_group_name_Hall 'I -4 2bw'
loop_
_atom_site_label
_atom_site_fract_x
_atom_site_fract_y
_atom_site_fract_z
Th1 0.055 0.202 0.312
Pd1 0.104 0.250 0.625
Ru1 0.000 0.000 0.000

=====

12.
# Th4PdRu, optimized geometry, DFT PBE
# - Spin magnetization: 0.00 μB per formula unit
# - E: -93.6 eV per cell
# - Energy relative to the elements: -0.4414 eV per atom
# - DOS(E_F): 1.149 states/eV/atom
data_Th4PdRu
_cell_length_a 7.214
_cell_length_b 7.214
_cell_length_c 6.066
_cell_angle_alpha 90.00
_cell_angle_beta 90.00
_cell_angle_gamma 90.00
_symmetry_space_group_name_H-M 'P 4/m c c'
_symmetry_Int_Tables_number 124
_symmetry_space_group_name_Hall '-P 4 2c'
loop_
_atom_site_label
_atom_site_fract_x
_atom_site_fract_y
_atom_site_fract_z
Th1 0.158 0.326 0.000
Pd1 0.500 0.500 0.250
Ru1 0.000 0.000 0.250